(1)
Here is a geometry-optimized Hg2AsRh structure from Alexandria. Energies are from PBE.

Output
- ΔE_f: 1.50 eV per formula unit
- Crystal system: tetragonal
- Space-group type: P4/mmm, No. 123
- Final energy: -2.775 eV per atom
- V: 77 Å³ per cell
- Magnetic moment: 0.0 μB per cell

Cell: 4.8830 4.8830 3.2279 Å, 90.00 90.00 90.00°
Closest atoms and distances in Å follow each position.
Fractional positions:
Hg  0.0000  0.0000  0.0000  4 As 2.93, 4 Rh 2.93, 2 Hg 3.23
As  0.0000  0.5000  0.5000  8 Hg 2.93, 2 As 3.23
Rh  0.5000  0.0000  0.5000  8 Hg 2.93, 2 Rh 3.23
Hg  0.5000  0.5000  0.0000  4 As 2.93, 4 Rh 2.93, 2 Hg 3.23

(2)
Here is a geometry-optimized HgAs2Rh structure from Alexandria. Energies are from PBE.

Output
- ΔE_f: 1.16 eV per formula unit
- Crystal system: tetragonal
- Space-group type: P4/mmm, No. 123
- Final energy: -3.947 eV per atom
- V: 73 Å³ per cell
- Magnetic moment: 0.0 μB per cell

Cell: 4.2104 4.2055 4.1134 Å, 90.00 90.00 90.00°
Closest atoms and distances in Å follow each position.
Fractional positions:
As  0.5000  0.5000  0.0000  4 Hg 2.94, 4 Rh 2.94, 4 As 2.98
Rh  0.0000  0.5000  0.5000  8 As 2.94, 4 Hg 2.98
Hg  0.5000  0.0000  0.5000  8 As 2.94, 4 Rh 2.98
As  0.0000  0.0000  0.0000  4 Rh 2.94, 4 Hg 2.94, 4 As 2.98

(3)
Here is a geometry-optimized HgAs2Rh structure from Alexandria. Energies are from PBE.

Output
- ΔE_f: 0.58 eV per formula unit
- Crystal system: orthorhombic
- Space-group type: Pmm2, No. 25
- Final energy: -4.093 eV per atom
- V: 77 Å³ per cell
- Magnetic moment: 0.0 μB per cell

Cell: 3.1957 3.9430 6.1005 Å, 90.00 90.00 90.00°
Closest atoms and distances in Å follow each position.
Fractional positions:
Rh  0.5000  0.5000  0.8359  5 As 2.45-2.61
As  0.0000  0.0000  0.9384  4 Rh 2.61, 1 Hg 2.75
As  0.5000  0.5000  0.2382  1 Rh 2.45
Hg  0.0000  0.0000  0.4874  5 As 2.75-2.96

(4)
Here is a geometry-optimized HgAsRh2 structure from Alexandria. Energies are from PBE.

Output
- ΔE_f: -0.06 eV per formula unit
- Crystal system: orthorhombic
- Space-group type: Immm, No. 71
- Final energy: -4.930 eV per atom
- V: 68 Å³ per cell
- Magnetic moment: 0.0 μB per cell

Cell: 4.8539 4.8539 4.8539 Å, 135.34 119.37 78.36°
Closest atoms and distances in Å follow each position.
Fractional positions:
Rh  0.5446  0.5446  0.0000  2 As 2.41
As  0.7500  0.2500  0.5000  4 Rh 2.41
Hg  0.2500  0.7500  0.5000  8 Rh 2.88-2.90, 4 As 3.07
Rh  0.9554  0.9554  0.0000  2 As 2.41

(5)
Here is a geometry-optimized HgAs2Rh structure from Alexandria. Energies are from PBE.

Output
- ΔE_f: 1.19 eV per formula unit
- Crystal system: tetragonal
- Space-group type: I-4m2, No. 119
- Final energy: -3.941 eV per atom
- V: 73 Å³ per cell
- Magnetic moment: 0.0 μB per cell

Cell: 5.1497 5.1497 5.1497 Å, 132.50 132.50 69.43°
Closest atoms and distances in Å follow each position.
Fractional positions:
As  0.2500  0.7500  0.5000  4 Rh 2.93, 4 Hg 2.96, 4 As 2.96
Hg  0.5000  0.5000  0.0000  8 As 2.93-2.96, 4 Rh 2.96
Rh  0.7500  0.2500  0.5000  8 As 2.93-2.96, 4 Hg 2.96
As  0.0000  0.0000  0.0000  4 Hg 2.93, 4 As 2.96, 4 Rh 2.96

(6)
Here is a geometry-optimized HgAsRh2 structure from Alexandria. Energies are from PBE.

Output
- ΔE_f: 0.08 eV per formula unit
- Crystal system: monoclinic
- Space-group type: Cm, No. 8
- Final energy: -4.892 eV per atom
- V: 69 Å³ per cell
- Magnetic moment: 0.0 μB per cell

Cell: 4.9355 4.9355 4.8752 Å, 76.28 76.28 36.72°
Closest atoms and distances in Å follow each position.
Fractional positions:
Rh  0.7691  0.7691  0.6732  3 As 2.55-2.68, 2 Hg 2.85
Hg  0.2430  0.2430  0.1993  7 Rh 2.70-2.96
As  0.4904  0.4904  0.6242  5 Rh 2.43-2.68
Rh  0.9976  0.9976  0.0033  2 As 2.43, 1 Hg 2.70

(7)
Here is a geometry-optimized HgAs2Rh structure from Alexandria. Energies are from PBE.

Output
- ΔE_f: 0.87 eV per formula unit
- Crystal system: tetragonal
- Space-group type: I4/mmm, No. 139
- Final energy: -4.020 eV per atom
- V: 73 Å³ per cell
- Magnetic moment: 0.0 μB per cell

Cell: 4.9187 4.9187 4.9187 Å, 127.48 127.48 77.46°
Closest atoms and distances in Å follow each position.
Fractional positions:
As  0.5000  0.5000  0.0000  4 Hg 2.90, 4 Rh 2.90, 4 As 3.08
Rh  0.7500  0.2500  0.5000  8 As 2.90, 4 Hg 3.08
Hg  0.2500  0.7500  0.5000  8 As 2.90, 4 Rh 3.08
As  0.0000  0.0000  0.0000  4 Hg 2.90, 4 Rh 2.90, 4 As 3.08

(8)
Here is a geometry-optimized HgAs2Rh structure from Alexandria. Energies are from PBE.

Output
- ΔE_f: 1.04 eV per formula unit
- Crystal system: monoclinic
- Space-group type: C2/m, No. 12
- Final energy: -3.978 eV per atom
- V: 73 Å³ per cell
- Magnetic moment: 0.0 μB per cell

Cell: 4.7796 6.6043 3.3533 Å, 59.36 90.07 120.80°
Closest atoms and distances in Å follow each position.
Fractional positions:
As  0.0000  0.5000  0.5000  2 As 2.84, 4 Hg 2.92, 4 Rh 2.92
Hg  0.5000  0.5000  0.0000  2 Rh 2.84, 8 As 2.92
As  0.0000  0.0000  0.0000  2 As 2.84, 4 Rh 2.92, 4 Hg 2.92
Rh  0.5000  0.0000  0.5000  2 Hg 2.84, 8 As 2.92

Copy entry 3 word for word.
Here is a geometry-optimized HgAs2Rh structure from Alexandria. Energies are from PBE.

Output
- ΔE_f: 0.58 eV per formula unit
- Crystal system: orthorhombic
- Space-group type: Pmm2, No. 25
- Final energy: -4.093 eV per atom
- V: 77 Å³ per cell
- Magnetic moment: 0.0 μB per cell

Cell: 3.1957 3.9430 6.1005 Å, 90.00 90.00 90.00°
Closest atoms and distances in Å follow each position.
Fractional positions:
Rh  0.5000  0.5000  0.8359  5 As 2.45-2.61
As  0.0000  0.0000  0.9384  4 Rh 2.61, 1 Hg 2.75
As  0.5000  0.5000  0.2382  1 Rh 2.45
Hg  0.0000  0.0000  0.4874  5 As 2.75-2.96

- What is the formula in the second record?
  HgAs2Rh

- Among the records above, which one has the lowest V?
  number 4